*1*
The following is a DFT calculation (PBE) of a relaxed Na3In7Pb2 crystal.

```
data_Na3In7Pb2
_cell_length_a 6.2809
_cell_length_b 6.2809
_cell_length_c 31.7060
_cell_angle_alpha 90.00
_cell_angle_beta 90.00
_cell_angle_gamma 120.00
_space_group_name_H-M_alt 'R -3 m'
_space_group_IT_number 166
_space_group_name_Hall '-R 3 2"'
loop_
_atom_site_label
_atom_site_type_symbol
_atom_site_fract_x
_atom_site_fract_y
_atom_site_fract_z
_atom_site_occupancy
Na1 Na 0.0000 0.0000 0.0000 1
Na2 Na 0.0000 0.0000 0.1412 1
In1 In 0.0000 0.0000 0.5000 1
In2 In 0.0086 0.5043 0.9109 1
Pb1 Pb 0.0000 0.0000 0.3381 1
```

## Properties
Density of states at the Fermi level in states/eV per cell: 19.20



*2*
The following is a DFT calculation (PBE) of a relaxed Na3In7Pb2 crystal.

```
data_Na3In7Pb2
_cell_length_a 6.045
_cell_length_b 3.298
_cell_length_c 16.714
_cell_angle_alpha 90.00
_cell_angle_beta 94.49
_cell_angle_gamma 90.00
_space_group_name_H-M_alt 'P 1 2/m 1'
_space_group_IT_number 10
loop_
_space_group_symop_operation_xyz
'x,y,z'
'-x,-y,-z'
'-x,y,-z'
'x,-y,z'
loop_
_atom_site_label
_atom_site_type_symbol
_atom_site_fract_x
_atom_site_fract_y
_atom_site_fract_z
_atom_site_occupancy
Na1 Na 0.000 0.000 0.000 1
Na2 Na 0.045 0.500 0.663 1
In1 In 0.222 0.500 0.160 1
In2 In 0.248 0.000 0.499 1
In3 In 0.272 0.000 0.839 1
In4 In 0.500 0.500 0.000 1
Pb1 Pb 0.454 0.000 0.325 1
```

## Properties
Density of states at the Fermi level in states/eV per cell: 5.03



Stability summary - winner: *2*; margin: 17 meV per atom.



*1*
The following is a DFT calculation (PBE) of a relaxed Na3In2Pb4 crystal.

```
data_Na3In2Pb4
_cell_length_a 6.440
_cell_length_b 8.871
_cell_length_c 9.793
_cell_angle_alpha 103.34
_cell_angle_beta 100.08
_cell_angle_gamma 100.20
_space_group_name_H-M_alt 'P -1'
_space_group_IT_number 2
loop_
_space_group_symop_operation_xyz
'x,y,z'
'-x,-y,-z'
loop_
_atom_site_label
_atom_site_type_symbol
_atom_site_fract_x
_atom_site_fract_y
_atom_site_fract_z
_atom_site_occupancy
Na1 Na 0.077 0.334 0.412 1
Na2 Na 0.243 0.006 0.243 1
Na3 Na 0.409 0.670 0.079 1
In1 In 0.026 0.425 0.791 1
In2 In 0.186 0.107 0.631 1
Pb1 Pb 0.129 0.249 0.032 1
Pb2 Pb 0.294 0.914 0.864 1
Pb3 Pb 0.373 0.777 0.466 1
Pb4 Pb 0.458 0.562 0.697 1
```

## Properties
Density of states at the Fermi level in states/eV per cell: 5.87



*2*
The following is a DFT calculation (PBE) of a relaxed Na3In2Pb4 crystal.

```
data_Na3In2Pb4
_cell_length_a 5.579
_cell_length_b 5.587
_cell_length_c 9.893
_cell_angle_alpha 81.04
_cell_angle_beta 80.47
_cell_angle_gamma 60.68
_space_group_name_H-M_alt 'P -1'
_space_group_IT_number 2
loop_
_space_group_symop_operation_xyz
'x,y,z'
'-x,-y,-z'
loop_
_atom_site_label
_atom_site_type_symbol
_atom_site_fract_x
_atom_site_fract_y
_atom_site_fract_z
_atom_site_occupancy
Na1 Na 0.000 0.000 0.000 1
Na2 Na 0.349 0.354 0.412 1
In1 In 0.289 0.288 0.750 1
Pb1 Pb 0.026 0.032 0.332 1
Pb2 Pb 0.322 0.324 0.068 1
```

## Properties
Density of states at the Fermi level in states/eV per cell: 2.81



Stability summary - winner: *1*; margin: 29 meV per atom.



*1*
The following is a DFT calculation (PBE) of a relaxed Na3InPb crystal.

```
data_Na3InPb
_cell_length_a 7.261
_cell_length_b 4.854
_cell_length_c 8.067
_cell_angle_alpha 90.00
_cell_angle_beta 93.55
_cell_angle_gamma 90.00
_space_group_name_H-M_alt 'P 1 21/m 1'
_space_group_IT_number 11
loop_
_space_group_symop_operation_xyz
'x,y,z'
'-x,-y,-z'
'-x,y+1/2,-z'
'x,-y+1/2,z'
loop_
_atom_site_label
_atom_site_type_symbol
_atom_site_fract_x
_atom_site_fract_y
_atom_site_fract_z
_atom_site_occupancy
Na1 Na 0.051 0.250 0.339 1
Na2 Na 0.254 0.250 0.751 1
Na3 Na 0.443 0.250 0.157 1
In1 In 0.143 0.750 0.038 1
Pb1 Pb 0.349 0.750 0.453 1
```

## Properties
Density of states at the Fermi level in states/eV per cell: 2.73



*2*
The following is a DFT calculation (PBE) of a relaxed Na3InPb crystal.

```
data_Na3InPb
_cell_length_a 5.903
_cell_length_b 5.903
_cell_length_c 5.903
_cell_angle_alpha 90.00
_cell_angle_beta 90.00
_cell_angle_gamma 90.00
_space_group_name_H-M_alt 'P m -3 m'
_space_group_IT_number 221
_space_group_name_Hall '-P 4 2 3'
loop_
_atom_site_label
_atom_site_type_symbol
_atom_site_fract_x
_atom_site_fract_y
_atom_site_fract_z
_atom_site_occupancy
Na1 Na 0.000 0.000 0.500 1
In1 In 0.500 0.500 0.500 1
Pb1 Pb 0.000 0.000 0.000 1
```

## Properties
Density of states at the Fermi level in states/eV per cell: 2.18



Stability summary - winner: *1*; margin: 333 meV per atom.



*1*
The following is a DFT calculation (PBE) of a relaxed Na3In3Pb2 crystal.

```
data_Na3In3Pb2
_cell_length_a 8.6340
_cell_length_b 8.6340
_cell_length_c 10.5236
_cell_angle_alpha 90.00
_cell_angle_beta 90.00
_cell_angle_gamma 120.00
_space_group_name_H-M_alt 'R 3 2'
_space_group_IT_number 155
_space_group_name_Hall 'R 3 2"'
loop_
_atom_site_label
_atom_site_type_symbol
_atom_site_fract_x
_atom_site_fract_y
_atom_site_fract_z
_atom_site_occupancy
Na1 Na 0.0000 0.2531 0.0000 1
In1 In 0.0000 0.7546 0.5000 1
Pb1 Pb 0.0000 0.0000 0.2541 1
```

## Properties
Density of states at the Fermi level in states/eV per cell: 5.96



*2*
The following is a DFT calculation (PBE) of a relaxed Na3In3Pb2 crystal.

```
data_Na3In3Pb2
_cell_length_a 19.010
_cell_length_b 4.983
_cell_length_c 4.876
_cell_angle_alpha 90.00
_cell_angle_beta 104.86
_cell_angle_gamma 90.00
_space_group_name_H-M_alt 'C 1 2/m 1'
_space_group_IT_number 12
loop_
_space_group_symop_operation_xyz
'x,y,z'
'-x,-y,-z'
'-x,y,-z'
'x,-y,z'
'x+1/2,y+1/2,z'
'-x+1/2,-y+1/2,-z'
'-x+1/2,y+1/2,-z'
'x+1/2,-y+1/2,z'
loop_
_atom_site_label
_atom_site_type_symbol
_atom_site_fract_x
_atom_site_fract_y
_atom_site_fract_z
_atom_site_occupancy
Na1 Na 0.000 0.000 0.000 1
Na2 Na 0.124 0.000 0.623 1
In1 In 0.000 0.500 0.500 1
In2 In 0.126 0.500 0.126 1
Pb1 Pb 0.249 0.000 0.248 1
```

## Properties
Density of states at the Fermi level in states/eV per cell: 6.60



Stability summary - winner: *2*; margin: 7 meV per atom.



*1*
The following is a DFT calculation (PBE) of a relaxed NaInPb6 crystal.

```
data_NaInPb6
_cell_length_a 8.8584
_cell_length_b 8.8584
_cell_length_c 11.8772
_cell_angle_alpha 90.00
_cell_angle_beta 90.00
_cell_angle_gamma 120.00
_space_group_name_H-M_alt 'R -3 m'
_space_group_IT_number 166
_space_group_name_Hall '-R 3 2"'
loop_
_atom_site_label
_atom_site_type_symbol
_atom_site_fract_x
_atom_site_fract_y
_atom_site_fract_z
_atom_site_occupancy
Na1 Na 0.0000 0.0000 0.0000 1
In1 In 0.0000 0.0000 0.5000 1
Pb1 Pb 0.0793 0.5397 0.3787 1
```

## Properties
Density of states at the Fermi level in states/eV per cell: 11.76



*2*
The following is a DFT calculation (PBE) of a relaxed NaInPb6 crystal.

```
data_NaInPb6
_cell_length_a 4.877
_cell_length_b 4.877
_cell_length_c 10.171
_cell_angle_alpha 90.00
_cell_angle_beta 90.00
_cell_angle_gamma 90.00
_space_group_name_H-M_alt 'P 4/m m m'
_space_group_IT_number 123
_space_group_name_Hall '-P 4 2'
loop_
_atom_site_label
_atom_site_type_symbol
_atom_site_fract_x
_atom_site_fract_y
_atom_site_fract_z
_atom_site_occupancy
Na1 Na 0.000 0.000 0.000 1
In1 In 0.000 0.000 0.500 1
Pb1 Pb 0.000 0.500 0.248 1
Pb2 Pb 0.500 0.500 0.000 1
Pb3 Pb 0.500 0.500 0.500 1
```

## Properties
Density of states at the Fermi level in states/eV per cell: 4.44



Stability summary - winner: *2*; margin: 170 meV per atom.